Record 1
Below is a relaxed structure of LaHoCdSi, with properties calculated at the PBE level.

Calculated values
As for the uncorrected formation energy: -1.6 eV/f.u. The size of the total moment is 0.0 μB/f.u. The calculation puts the total energy at -4.352 eV/atom. The calculated density is 7.29 g/cm³.

Cell lengths 5.232, 5.232, 5.232 Å; angles 60.00, 60.00, 60.00 degrees
Element x y z (fractional)
Ho  0.500  0.500  0.500
La  0.000  0.000  0.000
Si  0.750  0.750  0.750
Cd  0.250  0.250  0.250

Record 2
Below is a relaxed structure of LaSmHoCd, with properties calculated at the PBE level.

Calculated values
As for the energy above the most stable polymorph in this dataset: 0.0 meV per atom. The energy relative to the elements is -0.14 eV per atom. The size of the total moment is 0.0 μB/f.u. The calculation puts the total energy at -3.925 eV/atom. The calculated density is 7.66 g/cm³.

Cell lengths 3.703, 3.703, 8.961 Å; angles 90.00, 90.00, 90.00 degrees
Element x y z (fractional)
Ho  0.500  0.500  0.354
Sm  0.500  0.500  0.791
La  0.000  0.000  0.076
Cd  0.000  0.000  0.563

Record 3
Below is a relaxed structure of LaSmHoCd, with properties calculated at the PBE level.

Calculated values
As for the energy above the most stable polymorph in this dataset: 90.2 meV per atom. The energy relative to the elements is -0.05 eV per atom. The size of the total moment is 0.0 μB/f.u. The calculation puts the total energy at -3.835 eV/atom. The calculated density is 7.67 g/cm³.

Cell lengths 5.577, 5.577, 5.577 Å; angles 60.00, 60.00, 60.00 degrees
Element x y z (fractional)
Cd  0.750  0.750  0.750
Sm  0.000  0.000  0.000
Ho  0.250  0.250  0.250
La  0.500  0.500  0.500

Record 4
Below is a relaxed structure of LaHoCdSn, with properties calculated at the PBE level.

Calculated values
The energy relative to the elements is -0.52 eV per atom. The size of the total moment is 0.0 μB/f.u. The calculation puts the total energy at -4.128 eV/atom. The calculated density is 7.91 g/cm³.

Cell lengths 5.415, 5.415, 5.415 Å; angles 60.00, 60.00, 60.00 degrees
Element x y z (fractional)
Cd  0.750  0.750  0.750
La  0.000  0.000  0.000
Sn  0.250  0.250  0.250
Ho  0.500  0.500  0.500

Record 5
Below is a relaxed structure of La5HoTlCd2, with properties calculated at the PBE level.

Calculated values
The energy relative to the elements is -0.10 eV per atom. The size of the total moment is 0.0 μB/f.u. The calculation puts the total energy at -3.808 eV/atom. The calculated density is 7.02 g/cm³.

Cell lengths 7.926, 7.926, 11.205 Å; angles 110.71, 110.71, 90.00 degrees
Element x y z (fractional)
La  0.426  0.348  0.274
La  0.074  0.574  0.726
La  0.926  0.426  0.274
La  0.574  0.652  0.726
La  0.652  0.152  0.726
La  0.000  0.000  0.000
La  0.848  0.926  0.274
La  0.152  0.074  0.726
La  0.500  0.500  0.000
La  0.348  0.848  0.274
Tl  0.750  0.250  0.500
Tl  0.250  0.750  0.500
Cd  0.119  0.381  0.000
Cd  0.881  0.619  0.000
Cd  0.381  0.881  0.000
Cd  0.619  0.119  0.000
Ho  0.750  0.750  0.500
Ho  0.250  0.250  0.500

Record 6
Below is a relaxed structure of LaHo2TmCd4, with properties calculated at the PBE level.

Calculated values
The energy relative to the elements is -0.30 eV per atom. The size of the total moment is 0.2 μB/f.u. The calculation puts the total energy at -3.080 eV/atom. The calculated density is 8.38 g/cm³.

Cell lengths 5.330, 5.330, 9.283 Å; angles 73.32, 73.32, 60.00 degrees
Element x y z (fractional)
La  0.000  0.000  0.000
Cd  0.379  0.379  0.863
Cd  0.127  0.127  0.618
Cd  0.873  0.873  0.382
Cd  0.621  0.621  0.137
Ho  0.752  0.752  0.745
Ho  0.248  0.248  0.255
Tm  0.500  0.500  0.500

Record 7
Below is a relaxed structure of La2YHo2Cd5, with properties calculated at the PBE level.

Calculated values
The energy relative to the elements is -0.22 eV per atom. The size of the total moment is 0.0 μB/f.u. The calculation puts the total energy at -3.223 eV/atom. The calculated density is 7.59 g/cm³.

Cell lengths 4.781, 10.731, 10.731 Å; angles 90.00, 90.00, 90.00 degrees
Element x y z (fractional)
Cd  0.500  0.067  0.805
Cd  0.500  0.567  0.695
Cd  0.500  0.195  0.067
Cd  0.500  0.305  0.567
Cd  0.500  0.000  0.500
Cd  0.500  0.933  0.195
Cd  0.500  0.433  0.305
Cd  0.500  0.500  0.000
Cd  0.500  0.695  0.433
Cd  0.500  0.805  0.933
Ho  0.000  0.623  0.877
Ho  0.000  0.123  0.623
Ho  0.000  0.877  0.377
Ho  0.000  0.377  0.123
La  0.000  0.325  0.825
La  0.000  0.825  0.675
La  0.000  0.175  0.325
La  0.000  0.675  0.175
Y  0.000  0.000  0.000
Y  0.000  0.500  0.500

Record 8
Below is a relaxed structure of La2Y2HoCd5, with properties calculated at the PBE level.

Calculated values
The energy relative to the elements is -0.21 eV per atom. The size of the total moment is 0.0 μB/f.u. The calculation puts the total energy at -3.399 eV/atom. The calculated density is 7.08 g/cm³.

Cell lengths 4.767, 10.787, 10.787 Å; angles 90.00, 90.00, 90.00 degrees
Element x y z (fractional)
Cd  0.500  0.000  0.500
Cd  0.500  0.566  0.693
Cd  0.500  0.934  0.193
Cd  0.500  0.193  0.066
Cd  0.500  0.066  0.807
Cd  0.500  0.500  0.000
Cd  0.500  0.434  0.307
Cd  0.500  0.807  0.934
Cd  0.500  0.307  0.566
Cd  0.500  0.693  0.434
La  0.000  0.825  0.675
La  0.000  0.325  0.825
La  0.000  0.675  0.175
La  0.000  0.175  0.325
Y  0.000  0.624  0.876
Y  0.000  0.124  0.624
Y  0.000  0.376  0.124
Y  0.000  0.876  0.376
Ho  0.000  0.000  0.000
Ho  0.000  0.500  0.500

Record 9
Below is a relaxed structure of LiHo6Cd2, with properties calculated at the PBE level.

Calculated values
The energy relative to the elements is -0.01 eV per atom. The size of the total moment is 0.0 μB/f.u. The calculation puts the total energy at -3.478 eV/atom. The calculated density is 8.01 g/cm³.

Cell lengths 6.259, 9.364, 8.804 Å; angles 90.00, 79.05, 90.00 degrees
Element x y z (fractional)
Ho  0.877  0.964  0.196
Ho  0.103  0.336  0.465
Ho  0.079  0.308  0.062
Ho  0.377  0.536  0.696
Ho  0.397  0.836  0.035
Ho  0.897  0.664  0.535
Ho  0.623  0.464  0.304
Ho  0.421  0.808  0.438
Ho  0.921  0.692  0.938
Ho  0.123  0.036  0.804
Ho  0.603  0.164  0.965
Ho  0.579  0.192  0.562
Cd  0.642  0.901  0.720
Cd  0.858  0.401  0.780
Cd  0.142  0.599  0.220
Cd  0.358  0.099  0.280
Li  0.500  0.500  0.000
Li  0.000  0.000  0.500

Record 10
Below is a relaxed structure of Li2HoCd3, with properties calculated at the PBE level.

Calculated values
As for the energy above the most stable polymorph in this dataset: 36.7 meV per atom. The energy relative to the elements is -0.23 eV per atom. The size of the total moment is 0.0 μB/f.u. The calculation puts the total energy at -2.088 eV/atom. The calculated density is 6.66 g/cm³.

Cell lengths 4.735, 4.735, 13.259 Å; angles 90.00, 90.00, 120.00 degrees
Element x y z (fractional)
Cd  0.000  0.000  0.000
Cd  0.667  0.333  0.631
Cd  0.333  0.667  0.369
Cd  0.333  0.667  0.131
Cd  0.000  0.000  0.500
Cd  0.667  0.333  0.869
Li  0.333  0.667  0.921
Li  0.667  0.333  0.079
Li  0.333  0.667  0.579
Li  0.667  0.333  0.421
Ho  0.000  0.000  0.750
Ho  0.000  0.000  0.250

Record 11
Below is a relaxed structure of LiHo4Cd, with properties calculated at the PBE level.

Calculated values
The energy relative to the elements is 0.31 eV per atom. The size of the total moment is 0.0 μB/f.u. The calculation puts the total energy at -3.216 eV/atom. The calculated density is 6.93 g/cm³.

Cell lengths 5.060, 5.061, 7.291 Å; angles 89.98, 89.99, 90.00 degrees
Element x y z (fractional)
Li  0.001  0.998  0.498
Ho  0.001  0.497  0.750
Ho  0.501  0.997  0.750
Ho  0.001  0.497  0.246
Ho  0.501  0.997  0.246
Cd  0.501  0.497  0.998

Record 12
Below is a relaxed structure of LiHo2Cd2, with properties calculated at the PBE level.

Calculated values
The energy relative to the elements is -0.09 eV per atom. The size of the total moment is 0.0 μB/f.u. The calculation puts the total energy at -2.667 eV/atom. The calculated density is 7.19 g/cm³.

Cell lengths 5.606, 7.569, 7.717 Å; angles 119.37, 111.30, 90.00 degrees
Element x y z (fractional)
Ho  0.803  0.960  0.607
Ho  0.197  0.040  0.393
Ho  0.697  0.353  0.393
Ho  0.303  0.647  0.607
Li  0.750  0.500  0.000
Li  0.250  0.500  0.000
Cd  0.436  0.130  0.871
Cd  0.064  0.258  0.129
Cd  0.936  0.742  0.871
Cd  0.564  0.870  0.129

Record 13
Below is a relaxed structure of Li2HoCd, with properties calculated at the PBE level.

Calculated values
As for the energy above the most stable polymorph in this dataset: 80.6 meV per atom. The energy relative to the elements is 0.01 eV per atom. The size of the total moment is 0.0 μB/f.u. The calculation puts the total energy at -2.317 eV/atom. The calculated density is 5.17 g/cm³.

Cell lengths 4.651, 4.485, 4.485 Å; angles 90.00, 90.00, 90.00 degrees
Element x y z (fractional)
Li  0.000  0.500  0.000
Li  0.000  0.000  0.500
Ho  0.500  0.500  0.500
Cd  0.500  0.000  0.000

Record 14
Below is a relaxed structure of Li2Ho3Cd4, with properties calculated at the PBE level.

Calculated values
As for the energy above the most stable polymorph in this dataset: 0.0 meV per atom. The energy relative to the elements is -0.23 eV per atom. The size of the total moment is 0.0 μB/f.u. The calculation puts the total energy at -2.592 eV/atom. The calculated density is 7.48 g/cm³.

Cell lengths 5.204, 5.226, 9.103 Å; angles 96.72, 90.00, 119.86 degrees
Element x y z (fractional)
Cd  0.046  0.093  0.355
Cd  0.684  0.368  0.104
Cd  0.316  0.632  0.896
Cd  0.954  0.907  0.645
Li  0.285  0.570  0.591
Li  0.715  0.430  0.409
Ho  0.634  0.267  0.750
Ho  0.366  0.733  0.250
Ho  0.000  0.000  0.000

Record 15
Below is a relaxed structure of Li2HoCd, with properties calculated at the PBE level.

Calculated values
As for the energy above the most stable polymorph in this dataset: 25.8 meV per atom. The energy relative to the elements is -0.04 eV per atom. The size of the total moment is 0.0 μB/f.u. The calculation puts the total energy at -2.371 eV/atom. The calculated density is 5.57 g/cm³.

Cell lengths 3.530, 3.530, 6.970 Å; angles 90.00, 90.00, 90.00 degrees
Element x y z (fractional)
Ho  0.500  0.500  0.500
Cd  0.500  0.500  0.000
Li  0.000  0.000  0.797
Li  0.000  0.000  0.203

Record 16
Below is a relaxed structure of Li3HoCd3, with properties calculated at the PBE level.

Calculated values
The energy relative to the elements is 0.24 eV per atom. The size of the total moment is 0.0 μB/f.u. The calculation puts the total energy at -1.624 eV/atom. The calculated density is 5.17 g/cm³.

Cell lengths 6.953, 6.953, 6.953 Å; angles 90.00, 90.00, 90.00 degrees
Element x y z (fractional)
Cd  0.500  0.750  0.000
Cd  0.250  0.000  0.500
Cd  0.000  0.500  0.250
Cd  0.000  0.500  0.750
Cd  0.500  0.250  0.000
Cd  0.750  0.000  0.500
Li  0.000  0.750  0.500
Li  0.000  0.250  0.500
Li  0.500  0.000  0.250
Li  0.500  0.000  0.750
Li  0.250  0.500  0.000
Li  0.750  0.500  0.000
Ho  0.000  0.000  0.000
Ho  0.500  0.500  0.500

Record 17
Below is a relaxed structure of Li12HoCd6, with properties calculated at the PBE level.

Calculated values
The energy relative to the elements is -0.12 eV per atom. The size of the total moment is 0.0 μB/f.u. The calculation puts the total energy at -1.857 eV/atom. The calculated density is 3.85 g/cm³.

Cell lengths 7.359, 7.359, 7.359 Å; angles 89.22, 89.22, 89.22 degrees
Element x y z (fractional)
Cd  0.118  0.710  0.276
Cd  0.724  0.882  0.290
Cd  0.290  0.724  0.882
Cd  0.710  0.276  0.118
Cd  0.882  0.290  0.724
Cd  0.276  0.118  0.710
Li  0.588  0.196  0.476
Li  0.033  0.169  0.392
Li  0.608  0.967  0.831
Li  0.524  0.412  0.804
Li  0.196  0.476  0.588
Li  0.804  0.524  0.412
Li  0.412  0.804  0.524
Li  0.476  0.588  0.196
Li  0.169  0.392  0.033
Li  0.392  0.033  0.169
Li  0.967  0.831  0.608
Li  0.831  0.608  0.967
Ho  0.000  0.000  0.000

Record 18
Below is a relaxed structure of Li3Ho2Cd4, with properties calculated at the PBE level.

Calculated values
As for the energy above the most stable polymorph in this dataset: 0.0 meV per atom. The energy relative to the elements is -0.22 eV per atom. The size of the total moment is 0.0 μB/f.u. The calculation puts the total energy at -2.282 eV/atom. The calculated density is 6.80 g/cm³.

Cell lengths 4.826, 5.585, 8.298 Å; angles 76.72, 89.74, 64.61 degrees
Element x y z (fractional)
Li  0.631  0.736  0.531
Li  0.000  0.000  0.000
Li  0.369  0.264  0.469
Cd  0.079  0.841  0.361
Cd  0.921  0.159  0.639
Cd  0.434  0.133  0.161
Cd  0.566  0.867  0.839
Ho  0.251  0.496  0.794
Ho  0.749  0.504  0.206

Record 19
Below is a relaxed structure of LiHoCd17, with properties calculated at the PBE level.

Calculated values
The energy relative to the elements is -0.05 eV per atom. The size of the total moment is 0.0 μB/f.u. The calculation puts the total energy at -1.213 eV/atom. The calculated density is 7.92 g/cm³.

Cell lengths 7.676, 7.676, 7.676 Å; angles 80.91, 80.91, 80.91 degrees
Element x y z (fractional)
Cd  0.749  0.405  0.405
Cd  0.462  0.031  0.031
Cd  0.693  0.998  0.306
Cd  0.998  0.306  0.693
Cd  0.085  0.085  0.085
Cd  0.658  0.658  0.104
Cd  0.693  0.306  0.998
Cd  0.104  0.658  0.658
Cd  0.405  0.749  0.405
Cd  0.031  0.462  0.031
Cd  0.306  0.998  0.693
Cd  0.031  0.031  0.462
Cd  0.405  0.405  0.749
Cd  0.658  0.104  0.658
Cd  0.998  0.693  0.306
Cd  0.306  0.693  0.998
Cd  0.897  0.897  0.897
Li  0.692  0.692  0.692
Ho  0.329  0.329  0.329

Record 20
Below is a relaxed structure of Li2Ho3Cd7, with properties calculated at the PBE level.

Calculated values
The energy relative to the elements is -0.13 eV per atom. The size of the total moment is 0.0 μB/f.u. The calculation puts the total energy at -2.131 eV/atom. The calculated density is 7.45 g/cm³.

Cell lengths 5.112, 5.016, 11.366 Å; angles 97.58, 90.00, 90.00 degrees
Element x y z (fractional)
Cd  0.000  0.000  0.000
Cd  0.000  0.530  0.162
Cd  0.500  0.763  0.542
Cd  0.500  0.947  0.831
Cd  0.500  0.053  0.169
Cd  0.000  0.470  0.838
Cd  0.500  0.237  0.458
Li  0.500  0.400  0.705
Li  0.500  0.600  0.295
Ho  0.000  0.070  0.329
Ho  0.000  0.930  0.671
Ho  0.500  0.500  0.000

Record 21
Below is a relaxed structure of LiHoCd5, with properties calculated at the PBE level.

Calculated values
The energy relative to the elements is -0.10 eV per atom. The size of the total moment is 0.0 μB/f.u. The calculation puts the total energy at -1.678 eV/atom. The calculated density is 7.05 g/cm³.

Cell lengths 5.328, 5.328, 6.525 Å; angles 90.00, 90.00, 110.92 degrees
Element x y z (fractional)
Cd  0.000  0.500  0.253
Cd  0.500  0.000  0.747
Cd  0.000  0.000  0.500
Cd  0.500  0.000  0.253
Cd  0.000  0.500  0.747
Li  0.500  0.500  0.500
Ho  0.000  0.000  0.000

Record 22
Below is a relaxed structure of Li4HoCd, with properties calculated at the PBE level.

Calculated values
The energy relative to the elements is -0.05 eV per atom. The size of the total moment is 0.0 μB/f.u. The calculation puts the total energy at -2.246 eV/atom. The calculated density is 4.33 g/cm³.

Cell lengths 5.491, 5.491, 5.491 Å; angles 60.00, 60.00, 60.00 degrees
Element x y z (fractional)
Cd  0.000  0.000  0.000
Li  0.627  0.120  0.627
Li  0.627  0.627  0.120
Li  0.120  0.627  0.627
Li  0.627  0.627  0.627
Ho  0.250  0.250  0.250